# CsBP2

Crystalline CsBP2 at its relaxed geometry (PBE, Alexandria).

Geometry as CIF:
```
data_CsBP2
_space_group_name_H-M_alt 'I -4 2 d'
_space_group_IT_number 122
_space_group_name_Hall 'I -4 2bw'
_cell_length_a 6.6068
_cell_length_b 6.6068
_cell_length_c 8.4920
_cell_angle_alpha 90.00
_cell_angle_beta 90.00
_cell_angle_gamma 90.00
loop_
_atom_site_label
_atom_site_type_symbol
_atom_site_fract_x
_atom_site_fract_y
_atom_site_fract_z
Cs1 Cs 0.0000 0.0000 0.0000
B1 B 0.0000 0.0000 0.5000
P1 P 0.0728 0.2500 0.6250
```

Output
final energy = -4.277 eV/atom

---

# CsB2P2

Crystalline CsB2P2 at its relaxed geometry (PBE, Alexandria).

Geometry as CIF:
```
data_CsB2P2
_space_group_name_H-M_alt 'P -1'
_space_group_IT_number 2
_cell_length_a 6.3867
_cell_length_b 6.3936
_cell_length_c 7.2313
_cell_angle_alpha 65.23
_cell_angle_beta 64.05
_cell_angle_gamma 89.99
loop_
_space_group_symop_operation_xyz
'x,y,z'
'-x,-y,-z'
loop_
_atom_site_label
_atom_site_type_symbol
_atom_site_fract_x
_atom_site_fract_y
_atom_site_fract_z
Cs1 Cs 0.2361 0.2526 0.0001
B1 B 0.1473 0.3477 0.5065
B2 B 0.3450 0.8463 0.5087
P1 P 0.1613 0.6608 0.4723
P2 P 0.3622 0.1572 0.4801
```

Output
final energy = -5.116 eV/atom

---

# CsBP3

Crystalline CsBP3 at its relaxed geometry (PBE, Alexandria).

Geometry as CIF:
```
data_CsBP3
_space_group_name_H-M_alt 'P m -3 m'
_space_group_IT_number 221
_space_group_name_Hall '-P 4 2 3'
_cell_length_a 4.5720
_cell_length_b 4.5720
_cell_length_c 4.5720
_cell_angle_alpha 90.00
_cell_angle_beta 90.00
_cell_angle_gamma 90.00
loop_
_atom_site_label
_atom_site_type_symbol
_atom_site_fract_x
_atom_site_fract_y
_atom_site_fract_z
Cs1 Cs 0.0000 0.0000 0.0000
B1 B 0.5000 0.5000 0.5000
P1 P 0.0000 0.5000 0.5000
```

Output
final energy = -3.766 eV/atom
energy above the lowest structure with this stoichiometry = 0.000 eV per atom

---

# Cs2BP

Crystalline Cs2BP at its relaxed geometry (PBE, Alexandria).

Geometry as CIF:
```
data_Cs2BP
_space_group_name_H-M_alt 'I -4 2 d'
_space_group_IT_number 122
_space_group_name_Hall 'I -4 2bw'
_cell_length_a 5.6749
_cell_length_b 5.6749
_cell_length_c 21.8986
_cell_angle_alpha 90.00
_cell_angle_beta 90.00
_cell_angle_gamma 90.00
loop_
_atom_site_label
_atom_site_type_symbol
_atom_site_fract_x
_atom_site_fract_y
_atom_site_fract_z
Cs1 Cs 0.2394 0.2500 0.1250
B1 B 0.0000 0.0000 0.0000
P1 P 0.0000 0.0000 0.5000
```

Output
final energy = -2.026 eV/atom
energy above the lowest structure with this stoichiometry = 0.227 eV per atom

---

# CsB3P

Crystalline CsB3P at its relaxed geometry (PBE, Alexandria).

Geometry as CIF:
```
data_CsB3P
_space_group_name_H-M_alt 'P m -3 m'
_space_group_IT_number 221
_space_group_name_Hall '-P 4 2 3'
_cell_length_a 4.9240
_cell_length_b 4.9240
_cell_length_c 4.9240
_cell_angle_alpha 90.00
_cell_angle_beta 90.00
_cell_angle_gamma 90.00
loop_
_atom_site_label
_atom_site_type_symbol
_atom_site_fract_x
_atom_site_fract_y
_atom_site_fract_z
Cs1 Cs 0.0000 0.0000 0.0000
B1 B 0.0000 0.0000 0.5000
P1 P 0.5000 0.5000 0.5000
```

Output
final energy = -1.674 eV/atom
energy above the lowest structure with this stoichiometry = 1.754 eV per atom

---

# Cs2BPPd

Crystalline Cs2BPPd at its relaxed geometry (PBE, Alexandria).

Geometry as CIF:
```
data_Cs2BPPd
_space_group_name_H-M_alt 'P 4/m m m'
_space_group_IT_number 123
_space_group_name_Hall '-P 4 2'
_cell_length_a 6.8384
_cell_length_b 6.8384
_cell_length_c 3.4848
_cell_angle_alpha 90.00
_cell_angle_beta 90.00
_cell_angle_gamma 90.00
loop_
_atom_site_label
_atom_site_type_symbol
_atom_site_fract_x
_atom_site_fract_y
_atom_site_fract_z
Cs1 Cs 0.0000 0.5000 0.0000
B1 B 0.0000 0.0000 0.0000
P1 P 0.0000 0.0000 0.5000
Pd1 Pd 0.5000 0.5000 0.5000
```

Output
final energy = -3.417 eV/atom

---

Number 1: ρ 3.685 g cm⁻³, size of the total moment 0.0 μB per formula unit, DFT formation energy 1.2 eV per formula unit. Number 2: ρ 3.060 g cm⁻³, size of the total moment 0.0 μB per formula unit, DFT formation energy -0.6 eV per formula unit. Number 3: ρ 4.112 g cm⁻³, size of the total moment 0.0 μB per formula unit, DFT formation energy 4.9 eV per formula unit. Number 4: ρ 2.897 g cm⁻³, size of the total moment 1.7 μB per formula unit, DFT formation energy 5.7 eV per formula unit. Number 5: ρ 2.731 g cm⁻³, size of the total moment 0.0 μB per formula unit, DFT formation energy 17.9 eV per formula unit. Number 6: ρ 4.219 g cm⁻³, size of the total moment 0.0 μB per formula unit, DFT formation energy 1.9 eV per formula unit.